{"formula": "PmHoBiPb", "functional": "PBE", "state": "relaxed", "formation_energy_ev_per_fu": -1.90, "sg": "F-43m (216)", "lattice_angstrom": [[5.535, 0.000, 0.000], [2.768, 4.794, 0.000], [2.768, 1.598, 4.519]], "species": ["Pb", "Pm", "Bi", "Ho"], "fractional_positions": [[0.250, 0.250, 0.250], [0.000, 0.000, 0.000], [0.750, 0.750, 0.750], [0.500, 0.500, 0.500]]}



{"formula": "InIO2F", "functional": "PBE", "state": "relaxed", "e_form_raw_kj_per_mol_fu": -263, "sg": "P4/mmm (123)", "lattice_angstrom": [[4.069, 0.000, 0.000], [0.000, 4.069, 0.000], [0.000, 0.000, 5.707]], "species": ["I", "F", "O", "O", "In"], "fractional_positions": [[0.000, 0.000, 0.000], [0.000, 0.000, 0.500], [0.000, 0.500, 0.000], [0.500, 0.000, 0.000], [0.500, 0.500, 0.500]]}



{"formula": "FeHg3Pd", "functional": "PBE", "state": "relaxed", "formation_energy_ev_per_fu": 3.51, "sg": "Pm-3m (221)", "lattice_angstrom": [[5.002, 0.000, 0.000], [0.000, 5.002, 0.000], [0.000, 0.000, 5.002]], "species": ["Hg", "Hg", "Hg", "Pd", "Fe"], "fractional_positions": [[0.000, 0.500, 0.000], [0.000, 0.000, 0.500], [0.500, 0.000, 0.000], [0.500, 0.500, 0.500], [0.000, 0.000, 0.000]]}



{"formula": "Ge3TeC", "functional": "PBE", "state": "relaxed", "e_form_raw_kj_per_mol_fu": 431, "sg": "Pm-3m (221)", "lattice_angstrom": [[4.579, 0.000, 0.000], [0.000, 4.579, 0.000], [0.000, 0.000, 4.579]], "species": ["Ge", "Ge", "Ge", "Te", "C"], "fractional_positions": [[0.000, 0.500, 0.000], [0.000, 0.000, 0.500], [0.500, 0.000, 0.000], [0.500, 0.500, 0.500], [0.000, 0.000, 0.000]]}



no.,uncorrected energy (eV for the cell shown)
1,-18.814
2,-18.804
3,-11.047
4,-21.755